First-principles (PBE) data for a relaxed LiZnAg crystal, as listed in Alexandria.

E above lowest polymorph ... 0.0856 eV/atom
ΔE_f ... -0.10 eV/atom
Crystal system ... monoclinic

CIF file:
```
data_LiZnAg
_cell_length_a 9.124
_cell_length_b 2.893
_cell_length_c 7.571
_cell_angle_alpha 90.00
_cell_angle_beta 98.67
_cell_angle_gamma 90.00
_space_group_name_H-M_alt 'C 1 2/m 1'
_space_group_IT_number 12
_space_group_name_Hall '-C 2y'
loop_
_atom_site_label
_atom_site_type_symbol
_atom_site_fract_x
_atom_site_fract_y
_atom_site_fract_z
Li1 Li 0.121 0.000 0.414
Zn1 Zn 0.133 0.500 0.100
Ag1 Ag 0.123 0.500 0.738
```

***

First-principles (PBE) data for a relaxed NdHoGe2Pd2 crystal, as listed in Alexandria.

ΔE_f ... -0.93 eV/atom
Crystal system ... trigonal

CIF file:
```
data_NdHoGe2Pd2
_cell_length_a 4.4532
_cell_length_b 4.4532
_cell_length_c 7.2357
_cell_angle_alpha 90.00
_cell_angle_beta 90.00
_cell_angle_gamma 120.00
_space_group_name_H-M_alt 'P -3 m 1'
_space_group_IT_number 164
_space_group_name_Hall '-P 3 2"'
loop_
_atom_site_label
_atom_site_type_symbol
_atom_site_fract_x
_atom_site_fract_y
_atom_site_fract_z
Nd1 Nd 0.0000 0.0000 0.0000
Ho1 Ho 0.0000 0.0000 0.5000
Ge1 Ge 0.3333 0.6667 0.2659
Pd1 Pd 0.3333 0.6667 0.7097
```

***

First-principles (PBE) data for a relaxed TiInAu crystal, as listed in Alexandria.

ΔE_f ... -0.23 eV/atom
Crystal system ... monoclinic

CIF file:
```
data_TiInAu
_cell_length_a 5.836
_cell_length_b 5.836
_cell_length_c 7.062
_cell_angle_alpha 90.00
_cell_angle_beta 90.11
_cell_angle_gamma 90.00
_space_group_name_H-M_alt 'C 1 2/m 1'
_space_group_IT_number 12
_space_group_name_Hall '-C 2y'
loop_
_atom_site_label
_atom_site_type_symbol
_atom_site_fract_x
_atom_site_fract_y
_atom_site_fract_z
Ti1 Ti 0.000 0.250 0.000
In1 In 0.249 0.000 0.663
Au1 Au 0.249 0.500 0.735
```

***

Which of these has the lowest ΔE_f?
NdHoGe2Pd2

***

What is the ΔE_f in the third record?
-0.23 eV/atom

***

Number 2 is which compound?
NdHoGe2Pd2

***

Repeat the first record exactly.
First-principles (PBE) data for a relaxed LiZnAg crystal, as listed in Alexandria.

E above lowest polymorph ... 0.0856 eV/atom
ΔE_f ... -0.10 eV/atom
Crystal system ... monoclinic

CIF file:
```
data_LiZnAg
_cell_length_a 9.124
_cell_length_b 2.893
_cell_length_c 7.571
_cell_angle_alpha 90.00
_cell_angle_beta 98.67
_cell_angle_gamma 90.00
_space_group_name_H-M_alt 'C 1 2/m 1'
_space_group_IT_number 12
_space_group_name_Hall '-C 2y'
loop_
_atom_site_label
_atom_site_type_symbol
_atom_site_fract_x
_atom_site_fract_y
_atom_site_fract_z
Li1 Li 0.121 0.000 0.414
Zn1 Zn 0.133 0.500 0.100
Ag1 Ag 0.123 0.500 0.738
```